# 1
Cs2UAgS4 | PBE | relaxed

Calculated values
**Electronic total energy**: -39.67 eV/f.u.
**Symmetry**: I-4
**Total magnetic moment**: 1.00 μB per formula unit

Cell and atoms, written as CIF:
```
data_Cs2UAgS4
_chemical_formula_sum 'Cs2 U1 Ag1 S4'
_cell_length_a 7.2169
_cell_length_b 7.2169
_cell_length_c 7.2169
_cell_angle_alpha 99.64
_cell_angle_beta 114.60
_cell_angle_gamma 114.60
_symmetry_space_group_name_H-M 'P 1'
_symmetry_Int_Tables_number 1
loop_
_symmetry_equiv_pos_as_xyz
'x,y,z'
loop_
_atom_site_label
_atom_site_type_symbol
_atom_site_fract_x
_atom_site_fract_y
_atom_site_fract_z
S1 S 0.1153 0.2352 0.6428
S2 S 0.8847 0.5275 0.1200
S3 S 0.5925 0.3572 0.4725
S4 S 0.4075 0.8800 0.7648
Cs1 Cs 0.5000 0.7500 0.2500
Cs2 Cs 0.0000 0.0000 0.0000
Ag1 Ag 0.0000 0.5000 0.5000
U1 U 0.5000 0.2500 0.7500
```


# 2
CsU2AgS6 | PBE | relaxed

Calculated values
**Electronic total energy**: -59.87 eV/f.u.
**Symmetry**: C2/c
**Total magnetic moment**: 2.00 μB per formula unit

Cell and atoms, written as CIF:
```
data_CsU2AgS6
_chemical_formula_sum 'Cs2 U4 Ag2 S12'
_cell_length_a 8.3850
_cell_length_b 9.8757
_cell_length_c 9.8757
_cell_angle_alpha 104.08
_cell_angle_beta 75.50
_cell_angle_gamma 75.50
_symmetry_space_group_name_H-M 'P 1'
_symmetry_Int_Tables_number 1
loop_
_symmetry_equiv_pos_as_xyz
'x,y,z'
loop_
_atom_site_label
_atom_site_type_symbol
_atom_site_fract_x
_atom_site_fract_y
_atom_site_fract_z
S1 S 0.5276 0.1866 0.6380
S2 S 0.5392 0.5568 0.6708
S3 S 0.2855 0.2370 0.0694
S4 S 0.4608 0.4432 0.3292
S5 S 0.0276 0.6380 0.1866
S6 S 0.4724 0.8134 0.3620
S7 S 0.7855 0.0694 0.2370
S8 S 0.0392 0.6708 0.5568
S9 S 0.9724 0.3620 0.8134
S10 S 0.7145 0.7630 0.9306
S11 S 0.9608 0.3292 0.4432
S12 S 0.2145 0.9306 0.7630
U1 U 0.6529 0.2900 0.4562
U2 U 0.1529 0.4562 0.2900
U3 U 0.3471 0.7100 0.5438
U4 U 0.8471 0.5438 0.7100
Cs1 Cs 0.2500 0.8917 0.1083
Cs2 Cs 0.7500 0.1083 0.8917
Ag1 Ag 0.7500 0.8127 0.1873
Ag2 Ag 0.2500 0.1873 0.8127
```


# 3
CsUAg2S6 | PBE | relaxed

Calculated values
**Electronic total energy**: -48.73 eV/f.u.
**Symmetry**: C2/c
**Total magnetic moment**: 0.00 μB per formula unit

Cell and atoms, written as CIF:
```
data_CsUAg2S6
_chemical_formula_sum 'Cs2 U2 Ag4 S12'
_cell_length_a 9.3213
_cell_length_b 10.1165
_cell_length_c 10.1165
_cell_angle_alpha 91.14
_cell_angle_beta 67.99
_cell_angle_gamma 67.99
_symmetry_space_group_name_H-M 'P 1'
_symmetry_Int_Tables_number 1
loop_
_symmetry_equiv_pos_as_xyz
'x,y,z'
loop_
_atom_site_label
_atom_site_type_symbol
_atom_site_fract_x
_atom_site_fract_y
_atom_site_fract_z
U1 U 0.2500 0.2150 0.7850
U2 U 0.7500 0.7850 0.2150
S1 S 0.1949 0.9913 0.7727
S2 S 0.4321 0.9166 0.3480
S3 S 0.7732 0.6735 0.4534
S4 S 0.7268 0.5466 0.3265
S5 S 0.6949 0.7727 0.9913
S6 S 0.9321 0.3480 0.9166
S7 S 0.0679 0.6520 0.0834
S8 S 0.2268 0.3265 0.5466
S9 S 0.8051 0.0087 0.2273
S10 S 0.5679 0.0834 0.6520
S11 S 0.3051 0.2273 0.0087
S12 S 0.2732 0.4534 0.6735
Ag1 Ag 0.5128 0.1244 0.4120
Ag2 Ag 0.9872 0.5880 0.8756
Ag3 Ag 0.0128 0.4120 0.1244
Ag4 Ag 0.4872 0.8756 0.5880
Cs1 Cs 0.7500 0.1051 0.8949
Cs2 Cs 0.2500 0.8949 0.1051
```


# 4
CsU3Ag4S12 | PBE | relaxed

Calculated values
**Electronic total energy**: -109.68 eV/f.u.
**Symmetry**: R32
**Total magnetic moment**: 0.00 μB per formula unit

Cell and atoms, written as CIF:
```
data_CsU3Ag4S12
_chemical_formula_sum 'Cs1 U3 Ag4 S12'
_cell_length_a 8.9630
_cell_length_b 8.9630
_cell_length_c 8.9630
_cell_angle_alpha 108.21
_cell_angle_beta 108.21
_cell_angle_gamma 108.21
_symmetry_space_group_name_H-M 'P 1'
_symmetry_Int_Tables_number 1
loop_
_symmetry_equiv_pos_as_xyz
'x,y,z'
loop_
_atom_site_label
_atom_site_type_symbol
_atom_site_fract_x
_atom_site_fract_y
_atom_site_fract_z
S1 S 0.7452 0.0654 0.6463
S2 S 0.1045 0.8955 0.5000
S3 S 0.5000 0.3310 0.6690
S4 S 0.3537 0.9346 0.2548
S5 S 0.0654 0.6463 0.7452
S6 S 0.9346 0.2548 0.3537
S7 S 0.5000 0.1045 0.8955
S8 S 0.8955 0.5000 0.1045
S9 S 0.2548 0.3537 0.9346
S10 S 0.6463 0.7452 0.0654
S11 S 0.6690 0.5000 0.3310
S12 S 0.3310 0.6690 0.5000
Cs1 Cs 0.0000 0.0000 0.0000
U1 U 0.4358 0.0000 0.5642
U2 U 0.0000 0.5642 0.4358
U3 U 0.5642 0.4358 0.0000
Ag1 Ag 0.9347 0.0653 0.5000
Ag2 Ag 0.5000 0.5000 0.5000
Ag3 Ag 0.0653 0.5000 0.9347
Ag4 Ag 0.5000 0.9347 0.0653
```


# 5
Cs4U3AgS8 | PBE | relaxed

Calculated values
**Electronic total energy**: -92.58 eV/f.u.
**Symmetry**: R-3m
**Total magnetic moment**: 7.00 μB per formula unit

Cell and atoms, written as CIF:
```
data_Cs4U3AgS8
_chemical_formula_sum 'Cs4 U3 Ag1 S8'
_cell_length_a 8.2439
_cell_length_b 9.3558
_cell_length_c 8.2454
_cell_angle_alpha 116.15
_cell_angle_beta 119.99
_cell_angle_gamma 90.00
_symmetry_space_group_name_H-M 'P 1'
_symmetry_Int_Tables_number 1
loop_
_symmetry_equiv_pos_as_xyz
'x,y,z'
loop_
_atom_site_label
_atom_site_type_symbol
_atom_site_fract_x
_atom_site_fract_y
_atom_site_fract_z
Ag1 Ag 0.0000 0.5000 0.0000
Cs1 Cs 0.0000 0.0000 0.0000
Cs2 Cs 0.5000 0.0000 0.0000
Cs3 Cs 0.0000 0.0000 0.5000
Cs4 Cs 0.5000 0.0000 0.5000
U1 U 0.5000 0.5000 0.5000
U2 U 0.0000 0.5000 0.5000
U3 U 0.5000 0.5000 0.0000
S1 S 0.2726 0.3179 0.5453
S2 S 0.2905 0.3191 0.0548
S3 S 0.7641 0.3189 0.5281
S4 S 0.2357 0.6809 0.9452
S5 S 0.7643 0.3191 0.0548
S6 S 0.2359 0.6811 0.4719
S7 S 0.7095 0.6809 0.9452
S8 S 0.7274 0.6821 0.4547
```


# 6
CsVAgS4 | PBE | relaxed

Calculated values
**Electronic total energy**: -34.08 eV/f.u.
**Symmetry**: P2_1/m
**Total magnetic moment**: 0.00 μB per formula unit

Cell and atoms, written as CIF:
```
data_CsVAgS4
_chemical_formula_sum 'Cs2 V2 Ag2 S8'
_cell_length_a 5.8325
_cell_length_b 8.3235
_cell_length_c 10.2195
_cell_angle_alpha 90.00
_cell_angle_beta 123.44
_cell_angle_gamma 90.00
_symmetry_space_group_name_H-M 'P 1'
_symmetry_Int_Tables_number 1
loop_
_symmetry_equiv_pos_as_xyz
'x,y,z'
loop_
_atom_site_label
_atom_site_type_symbol
_atom_site_fract_x
_atom_site_fract_y
_atom_site_fract_z
S1 S 0.9228 0.4675 0.6904
S2 S 0.6862 0.7500 0.5327
S3 S 0.2962 0.7500 0.1015
S4 S 0.3138 0.2500 0.4673
S5 S 0.0772 0.9675 0.3096
S6 S 0.0772 0.5325 0.3096
S7 S 0.7038 0.2500 0.8985
S8 S 0.9228 0.0325 0.6904
Ag1 Ag 0.2041 0.2500 0.6749
Ag2 Ag 0.7959 0.7500 0.3251
V1 V 0.2827 0.7500 0.3091
V2 V 0.7173 0.2500 0.6909
Cs1 Cs 0.4544 0.2500 0.1629
Cs2 Cs 0.5456 0.7500 0.8371
```


Number 1: D(E_F) 6.7 states/eV/f.u.. Number 2: D(E_F) 8.8 states/eV/f.u.. Number 3: D(E_F) 5.6 states/eV/f.u.. Number 4: D(E_F) 13.4 states/eV/f.u.. Number 5: D(E_F) 11.9 states/eV/f.u.. Number 6: D(E_F) 0.8 states/eV/f.u..